First-principles (SCAN) data for a crystal of Cs2Ti2S9 relaxed with PBEsol, as listed in the Alexandria database.

Uncorrected energy ... -16.077 eV per atom
Crystal system ... trigonal
Calculated volume ... 345 Å³/f.u.

a = 10.1836 Å, b = 10.1836 Å, c = 10.1836 Å
α = 83.30°, β = 83.30°, γ = 83.30°
Atoms (fractional coordinates):
1 Cs 0.6614 0.6614 0.6614
2 Cs 0.7839 0.1729 0.4401
3 Cs 0.1729 0.4401 0.7839
4 Cs 0.2346 0.2346 0.2346
5 Cs 0.4401 0.7839 0.1729
6 Cs 0.9967 0.9967 0.9967
7 Ti 0.5262 0.1719 0.8685
8 Ti 0.7291 0.3315 0.9952
9 Ti 0.1719 0.8685 0.5262
10 Ti 0.3315 0.9952 0.7291
11 Ti 0.9952 0.7291 0.3315
12 Ti 0.8685 0.5262 0.1719
13 S 0.3057 0.1188 0.9149
14 S 0.8975 0.5039 0.4015
15 S 0.7833 0.1935 0.8200
16 S 0.5095 0.3566 0.7042
17 S 0.1935 0.8200 0.7833
18 S 0.7779 0.8334 0.3853
19 S 0.5553 0.3337 0.1779
20 S 0.1539 0.0975 0.5968
21 S 0.1779 0.5553 0.3337
22 S 0.7084 0.5750 0.0138
23 S 0.5750 0.0138 0.7084
24 S 0.1188 0.9149 0.3057
25 S 0.3566 0.7042 0.5095
26 S 0.8911 0.6438 0.9513
27 S 0.9149 0.3057 0.1188
28 S 0.7042 0.5095 0.3566
29 S 0.9513 0.8911 0.6438
30 S 0.6438 0.9513 0.8911
31 S 0.0975 0.5968 0.1539
32 S 0.5039 0.4015 0.8975
33 S 0.8334 0.3853 0.7779
34 S 0.8200 0.7833 0.1935
35 S 0.4015 0.8975 0.5039
36 S 0.3853 0.7779 0.8334
37 S 0.0138 0.7084 0.5750
38 S 0.3337 0.1779 0.5553
39 S 0.5968 0.1539 0.0975